A relaxed PaZn3Cr4O12 crystal. Source: Alexandria, functional PBE with a Hubbard U.

Structure (CIF):
```
data_PaZn3Cr4O12
_chemical_formula_sum 'Pa2 Zn6 Cr8 O24'
_cell_length_a 7.500
_cell_length_b 7.500
_cell_length_c 7.500
_cell_angle_alpha 90.00
_cell_angle_beta 90.00
_cell_angle_gamma 90.00
_space_group_name_H-M_alt 'I m -3'
_space_group_IT_number 204
_space_group_name_Hall '-I 2 2 3'
loop_
_atom_site_label
_atom_site_type_symbol
_atom_site_fract_x
_atom_site_fract_y
_atom_site_fract_z
_atom_site_occupancy
Pa1 Pa 0.000 0.000 0.000 1
Zn1 Zn 0.000 0.000 0.500 1
Cr1 Cr 0.250 0.250 0.250 1
O1 O 0.000 0.172 0.290 1
```

## Properties
* total DFT energy (no corrections): -7.0610 eV per atom
* crystal system: cubic
* total moment: 22.00 Bohr magnetons per cell